# 1
Tm3ScC: optimized geometry, PBE.

Geometry as POSCAR:
```
Tm3ScC
1.0
-4.619 0.498 1.606
0.746 -3.601 3.262
1.507 3.309 3.309
Sc C Tm
1 1 3
direct
0.500 0.500 0.500 Sc
0.000 0.000 0.000 C
0.000 0.500 0.000 Tm
0.000 0.000 0.500 Tm
0.500 0.000 0.000 Tm
```

Calculated values
magnetic moment = 0.00 μB/cell
formation enthalpy at 0 K = -1.481 kcal/mol of atoms



# 2
ErTm4Ni2: optimized geometry, PBE.

Geometry as POSCAR:
```
ErTm4Ni2
1.0
6.247 0.000 0.000
0.000 6.893 -2.881
0.000 0.056 7.781
Er Tm Ni
2 8 4
direct
0.250 0.848 0.974 Er
0.750 0.152 0.026 Er
0.503 0.409 0.768 Tm
0.250 0.252 0.343 Tm
0.750 0.748 0.657 Tm
0.997 0.409 0.768 Tm
0.750 0.026 0.388 Tm
0.003 0.591 0.232 Tm
0.497 0.591 0.232 Tm
0.250 0.974 0.612 Tm
0.250 0.255 0.992 Ni
0.750 0.745 0.008 Ni
0.750 0.382 0.415 Ni
0.250 0.618 0.585 Ni
```

Calculated values
polymorph energy (0 for the lowest one) = 0 meV per atom
magnetic moment = 0.00 μB/cell
formation enthalpy at 0 K = -4.268 kcal/mol of atoms



# 3
SrTcI2N: optimized geometry, PBE.

Geometry as POSCAR:
```
SrTcI2N
1.0
5.715 0.000 0.000
0.000 5.715 0.000
0.000 0.000 3.863
I Sr Tc N
2 1 1 1
direct
0.000 0.500 0.000 I
0.500 0.000 0.000 I
0.500 0.500 0.500 Sr
0.000 0.000 0.000 Tc
0.000 0.000 0.500 N
```

Calculated values
polymorph energy (0 for the lowest one) = 0 meV per atom
magnetic moment = 0.00 μB/cell
ΔE_f (raw) = -0.2989 eV/atom



# 4
Mg7AgHg4: optimized geometry, PBE.

Geometry as POSCAR:
```
Mg7AgHg4
1.0
-3.266 4.266 -2.694
-6.309 -1.839 -0.569
-6.367 6.427 3.417
Mg Ag Hg
7 1 4
direct
0.763 0.477 0.998 Mg
0.237 0.523 0.002 Mg
0.021 0.329 0.657 Mg
0.979 0.671 0.343 Mg
0.239 0.832 0.650 Mg
0.500 0.000 0.000 Mg
0.761 0.168 0.350 Mg
0.000 0.000 0.000 Ag
0.529 0.655 0.307 Hg
0.471 0.345 0.693 Hg
0.716 0.812 0.685 Hg
0.284 0.188 0.315 Hg
```

Calculated values
magnetic moment = 0.00 μB/cell
formation enthalpy at 0 K = -3.294 kcal/mol of atoms



# 5
Mg2ZrTl: optimized geometry, PBE.

Geometry as POSCAR:
```
Mg2ZrTl
1.0
-2.306 2.110 -0.624
-0.363 -2.850 -1.381
-5.257 -3.313 8.217
Mg Tl Zr
2 1 1
direct
0.000 0.000 0.001 Mg
0.500 0.500 0.253 Mg
0.000 0.000 0.497 Tl
0.500 0.500 0.750 Zr
```

Calculated values
polymorph energy (0 for the lowest one) = 166 meV per atom
magnetic moment = 0.00 μB/cell
formation enthalpy at 0 K = 1.306 kcal/mol of atoms



# 6
SrSc2Ir: optimized geometry, PBE.

Geometry as POSCAR:
```
SrSc2Ir
1.0
-1.027 0.282 6.028
1.871 -4.929 3.111
1.651 4.706 -3.550
Ir Sc Sr
1 2 1
direct
0.250 0.750 0.500 Ir
0.063 0.063 0.000 Sc
0.437 0.437 0.000 Sc
0.750 0.250 0.500 Sr
```

Calculated values
polymorph energy (0 for the lowest one) = 95 meV per atom
magnetic moment = 0.00 μB/cell
formation enthalpy at 0 K = -6.217 kcal/mol of atoms



# 7
Sr2LiIr: optimized geometry, PBE.

Geometry as POSCAR:
```
Sr2LiIr
1.0
17.887 0.000 0.000
8.943 2.597 -0.457
8.943 0.430 2.601
Sr Li Ir
2 1 1
direct
0.652 0.000 0.000 Sr
0.348 0.000 0.000 Sr
0.000 0.000 0.000 Li
0.500 0.000 0.000 Ir
```

Calculated values
magnetic moment = 0.00 μB/cell
formation enthalpy at 0 K = 6.217 kcal/mol of atoms



# 8
Pu2MnH5: optimized geometry, PBE.

Geometry as POSCAR:
```
Pu2MnH5
1.0
-3.770 -2.939 0.796
2.668 -2.578 3.118
-0.524 4.858 0.699
Pu Mn H
2 1 5
direct
0.249 0.749 0.498 Pu
0.749 0.249 0.498 Pu
0.004 0.004 0.007 Mn
0.759 0.250 0.009 H
0.250 0.250 0.009 H
0.759 0.759 0.009 H
0.250 0.759 0.009 H
0.757 0.757 0.513 H
```

Calculated values
magnetic moment = 10.00 μB/cell
VASP energy = -7.1028 eV per atom